The following is a GGA-PBE calculation of crystalline Ca2Ga3AgPt4 at its relaxed geometry, from the Alexandria database.

Calculated values
DFT total energy: -4.77 eV/atom
V: 19.39 A^3/atom
Crystal system: tetragonal
E_form: -736 kJ/mol of formula units
Spin magnetization: 0.0 μB/f.u.

abc: 4.138 4.138 11.326
angles: 90.00 90.00 90.00
Space group P-4m2 (No. 115)
One atom of each set of equivalent atoms:
Ca1 0.000 0.500 0.247 [2 per cell]
Ga1 0.000 0.000 0.000 [1 per cell]
Ga2 0.000 0.500 0.630 [2 per cell]
Ag1 0.500 0.500 0.000 [1 per cell]
Pt1 0.000 0.000 0.500 [1 per cell]
Pt2 0.000 0.500 0.846 [2 per cell]
Pt3 0.500 0.500 0.500 [1 per cell]